Entry 1:
The following is a PBE calculation of crystalline Ta2MnMo at its relaxed geometry, from Alexandria.

formation energy from the elements: 741.7 meV/atom

Cell: 5.8645 5.8645 5.8645 Å, 152.71 130.82 57.16°
With the nearest neighbours (Å) after each atom.
Positions (direct):
Ta: 0.2395 0.2395 0.0000  1 Mn 2.47, 1 Mo 2.68
Ta: 0.7605 0.7605 0.0000  1 Mn 2.47, 1 Mo 2.68
Mn: 0.0000 0.0000 0.0000  2 Ta 2.47
Mo: 0.5000 0.5000 0.0000  2 Ta 2.68, 2 Mo 2.77, 4 Mn 2.81

Entry 2:
The following is a PBE calculation of crystalline ScCr2Cl at its relaxed geometry, from Alexandria.

uncorrected formation energy: 41 kJ/mol of atoms

Cell: 4.6912 4.6912 4.6912 Å, 60.00 60.00 60.00°
With the nearest neighbours (Å) after each atom.
Positions (direct):
Sc: 0.0000 0.0000 0.0000  4 Cr 2.87, 4 Cl 2.87
Cr: 0.5000 0.5000 0.5000  4 Cr 2.87, 4 Cl 2.87
Cr: 0.7500 0.7500 0.7500  4 Cr 2.87, 4 Sc 2.87
Cl: 0.2500 0.2500 0.2500  4 Cr 2.87, 4 Sc 2.87

Entry 3:
The following is a PBE calculation of crystalline TmNiH8Ir2 at its relaxed geometry, from Alexandria.

calculated total energy: -56.54 eV per formula unit

Cell: 6.0628 6.0628 6.0628 Å, 43.97 43.97 43.97°
With the nearest neighbours (Å) after each atom.
Positions (direct):
Tm: 0.0000 0.0000 0.0000  6 H 2.30
Ni: 0.5000 0.5000 0.5000  6 H 1.69
H: 0.1548 0.4134 0.7448  1 Ni 1.69, 1 Ir 1.69
H: 0.2552 0.8452 0.5866  1 Ni 1.69, 1 Ir 1.69
H: 0.3198 0.3198 0.3198  1 Ir 1.62
H: 0.4134 0.7448 0.1548  1 Ni 1.69, 1 Ir 1.69
H: 0.5866 0.2552 0.8452  1 Ni 1.69, 1 Ir 1.69
H: 0.6802 0.6802 0.6802  1 Ir 1.62
H: 0.7448 0.1548 0.4134  1 Ni 1.69, 1 Ir 1.69
H: 0.8452 0.5866 0.2552  1 Ni 1.69, 1 Ir 1.69
Ir: 0.2214 0.2214 0.2214  4 H 1.62-1.69
Ir: 0.7786 0.7786 0.7786  4 H 1.62-1.69

Entry 4:
The following is a PBE calculation of crystalline Sr2CuIr at its relaxed geometry, from Alexandria.

formation energy from the elements: 243.1 meV/atom

Cell: 3.6805 4.9718 6.0378 Å, 90.00 90.00 90.00°
With the nearest neighbours (Å) after each atom.
Positions (direct):
Sr: 0.0000 0.0000 0.0000  2 Cu 3.01-3.03, 4 Ir 3.09
Sr: 0.5000 0.5000 0.4950  2 Ir 3.02, 4 Cu 3.09
Cu: 0.0000 0.0000 0.5021  6 Sr 3.01-3.09
Ir: 0.5000 0.5000 0.9945  6 Sr 3.02-3.09

Entry 5:
The following is a PBE calculation of crystalline LiZr2Hg2Te6 at its relaxed geometry, from Alexandria.

uncorrected formation energy: -54 kJ/mol of atoms

Cell: 7.4796 7.4796 8.0643 Å, 98.06 98.06 122.52°
With the nearest neighbours (Å) after each atom.
Positions (direct):
Li: 0.0000 0.0000 0.0000  6 Te 2.88-3.16
Zr: 0.3591 0.6409 0.0000  6 Te 2.83-3.02
Zr: 0.6409 0.3591 0.0000  6 Te 2.83-3.02
Hg: 0.3149 0.6851 0.5000  2 Te 2.79
Hg: 0.6851 0.3149 0.5000  2 Te 2.79
Te: 0.0293 0.3750 0.1881  1 Hg 2.79, 1 Li 2.88, 2 Zr 2.99-3.02
Te: 0.2749 0.2749 0.7571  2 Zr 2.83, 1 Li 3.16
Te: 0.3750 0.0293 0.1881  1 Hg 2.79, 1 Li 2.88, 2 Zr 2.99-3.02
Te: 0.6250 0.9707 0.8119  1 Hg 2.79, 1 Li 2.88, 2 Zr 2.99-3.02
Te: 0.7251 0.7251 0.2429  2 Zr 2.83, 1 Li 3.16
Te: 0.9707 0.6250 0.8119  1 Hg 2.79, 1 Li 2.88, 2 Zr 2.99-3.02

Entry 6:
The following is a PBE calculation of crystalline Y4CuSe2Cl at its relaxed geometry, from Alexandria.

uncorrected formation energy: -123 kJ/mol of atoms

Cell: 7.1323 3.9315 7.1335 Å, 90.00 107.88 90.00°
With the nearest neighbours (Å) after each atom.
Positions (direct):
Y: 0.2325 0.0000 0.2354  2 Cu 2.78, 3 Se 2.87-2.98, 1 Cl 2.90
Y: 0.2332 0.5000 0.7496  1 Cu 2.79, 3 Se 2.83-2.98, 2 Cl 2.93
Y: 0.7668 0.5000 0.2504  1 Cu 2.79, 3 Se 2.83-2.98, 2 Cl 2.93
Y: 0.7675 0.0000 0.7646  2 Cu 2.78, 3 Se 2.87-2.98, 1 Cl 2.90
Cu: 0.0000 0.5000 0.0000  6 Y 2.78-2.79
Se: 0.0000 0.0000 0.5000  6 Y 2.83-2.87
Se: 0.5000 0.5000 0.5000  6 Y 2.98
Cl: 0.5000 0.0000 0.0000  6 Y 2.90-2.93

Entry 7:
The following is a PBE calculation of crystalline Sr2HoCd3Hg12 at its relaxed geometry, from Alexandria.

formation energy from the elements: -155.9 meV/atom

Cell: 13.0565 13.0565 13.0565 Å, 31.27 31.27 31.27°
With the nearest neighbours (Å) after each atom.
Positions (direct):
Sr: 0.1359 0.1359 0.1359  12 Hg 3.53-3.67
Sr: 0.8641 0.8641 0.8641  12 Hg 3.53-3.67
Ho: 0.5000 0.5000 0.5000  6 Hg 2.95
Cd: 0.0000 0.5000 0.5000  4 Hg 2.96
Cd: 0.5000 0.0000 0.5000  4 Hg 2.96
Cd: 0.5000 0.5000 0.0000  4 Hg 2.96
Hg: 0.0893 0.6249 0.6249  1 Ho 2.95, 4 Hg 3.04-3.27
Hg: 0.0922 0.0922 0.6533  2 Cd 2.96, 4 Hg 3.04-3.09
Hg: 0.0922 0.6533 0.0922  2 Cd 2.96, 4 Hg 3.04-3.09
Hg: 0.3467 0.9078 0.9078  2 Cd 2.96, 4 Hg 3.04-3.09
Hg: 0.3751 0.3751 0.9107  1 Ho 2.95, 4 Hg 3.04-3.27
Hg: 0.3751 0.9107 0.3751  1 Ho 2.95, 4 Hg 3.04-3.27
Hg: 0.6249 0.0893 0.6249  1 Ho 2.95, 4 Hg 3.04-3.27
Hg: 0.6249 0.6249 0.0893  1 Ho 2.95, 4 Hg 3.04-3.27
Hg: 0.6533 0.0922 0.0922  2 Cd 2.96, 4 Hg 3.04-3.09
Hg: 0.9078 0.3467 0.9078  2 Cd 2.96, 4 Hg 3.04-3.09
Hg: 0.9078 0.9078 0.3467  2 Cd 2.96, 4 Hg 3.04-3.09
Hg: 0.9107 0.3751 0.3751  1 Ho 2.95, 4 Hg 3.04-3.27

Entry 8:
The following is a PBE calculation of crystalline BaHf2HRh at its relaxed geometry, from Alexandria.

calculated total energy: -19.79 eV per formula unit

Cell: 5.4676 5.4676 4.9477 Å, 90.00 90.00 90.00°
With the nearest neighbours (Å) after each atom.
Positions (direct):
Ba: 0.0000 0.0000 0.0000  2 Rh 2.47, 4 Hf 2.73
Hf: 0.0000 0.5000 0.0000  2 Ba 2.73
Hf: 0.5000 0.0000 0.0000  2 Ba 2.73
H: 0.5000 0.5000 0.5000  8 Hf 3.69, 4 Rh 3.87
Rh: 0.0000 0.0000 0.5000  2 Ba 2.47

Entry 9:
The following is a PBE calculation of crystalline ZrCdSi at its relaxed geometry, from Alexandria.

uncorrected formation energy: -9 kJ/mol of atoms

Cell: 5.8990 5.8990 5.8990 Å, 150.89 143.18 47.61°
With the nearest neighbours (Å) after each atom.
Positions (direct):
Zr: 0.0000 0.0000 0.0000  4 Si 2.80, 2 Zr 2.97
Cd: 0.6986 0.6986 0.0000  2 Cd 2.97, 4 Si 2.97, 5 Zr 3.20-3.25
Si: 0.3636 0.3636 0.0000  4 Zr 2.80, 2 Si 2.97, 4 Cd 2.97

Entry 10:
The following is a PBE calculation of crystalline Mo2H2Os at its relaxed geometry, from Alexandria.

calculated total energy: -39.08 eV per formula unit

Cell: 2.8710 2.8710 6.4314 Å, 90.00 90.00 90.00°
With the nearest neighbours (Å) after each atom.
Positions (direct):
Mo: 0.0000 0.0000 0.2191  4 H 2.01
Mo: 0.0000 0.0000 0.7809  4 H 2.01
H: 0.0000 0.5000 0.0000  4 Mo 2.01, 4 H 2.03
H: 0.5000 0.0000 0.0000  4 Mo 2.01, 4 H 2.03
Os: 0.5000 0.5000 0.5000  8 Mo 2.72, 4 Os 2.87

Entry 11:
The following is a PBE calculation of crystalline Cs2DySnS4 at its relaxed geometry, from Alexandria.

uncorrected formation energy: -108 kJ/mol of atoms

Cell: 14.7599 13.1305 8.2790 Å, 83.90 62.20 33.90°
With the nearest neighbours (Å) after each atom.
Positions (direct):
Cs: 0.0557 0.0557 0.6943  8 S 3.84-4.14
Cs: 0.3057 0.3057 0.9443  8 S 3.84-4.14
Cs: 0.6943 0.6943 0.0557  8 S 3.84-4.14
Cs: 0.9443 0.9443 0.3057  8 S 3.84-4.14
Dy: 0.1250 0.1250 0.1250  4 S 2.59
Dy: 0.8750 0.8750 0.8750  4 S 2.59
Sn: 0.3750 0.3750 0.3750  4 S 2.59
Sn: 0.6250 0.6250 0.6250  4 S 2.59
S: 0.0231 0.3294 0.4197  1 Dy 2.59, 1 Sn 2.59
S: 0.2723 0.5803 0.6706  1 Dy 2.59, 1 Sn 2.59
S: 0.3294 0.0231 0.7277  1 Dy 2.59, 1 Sn 2.59
S: 0.4197 0.7277 0.0231  1 Dy 2.59, 1 Sn 2.59
S: 0.5803 0.2723 0.9769  1 Dy 2.59, 1 Sn 2.59
S: 0.6706 0.9769 0.2723  1 Dy 2.59, 1 Sn 2.59
S: 0.7277 0.4197 0.3294  1 Dy 2.59, 1 Sn 2.59
S: 0.9769 0.6706 0.5803  1 Dy 2.59, 1 Sn 2.59

Entry 12:
The following is a PBE calculation of crystalline CsNaSiH6 at its relaxed geometry, from Alexandria.

calculated total energy: -28.82 eV per formula unit

Cell: 5.2922 5.2922 5.8567 Å, 90.00 90.00 120.00°
With the nearest neighbours (Å) after each atom.
Positions (direct):
Cs: 0.0000 0.0000 0.0000  6 H 2.86
Na: 0.3333 0.6667 0.5000  6 H 2.22
Si: 0.6667 0.3333 0.5000  6 H 1.61
H: 0.4232 0.0831 0.6608  1 Si 1.61
H: 0.4232 0.3402 0.3392  1 Si 1.61
H: 0.6598 0.0831 0.3392  1 Si 1.61
H: 0.6598 0.5768 0.6608  1 Si 1.61
H: 0.9169 0.3402 0.6608  1 Si 1.61
H: 0.9169 0.5768 0.3392  1 Si 1.61